{
  "formula": "Sr3Th3TcN8",
  "functional": "PBE",
  "state": "relaxed",
  "lattice_angstrom": [[7.113, 0.000, 0.000], [-3.557, 6.160, -0.022], [0.000, -4.086, 6.043]],
  "species": ["Sr", "Sr", "Sr", "N", "N", "N", "N", "N", "N", "N", "N", "Tc", "Th", "Th", "Th"],
  "frac_coords": [[0.500, 0.500, 0.000], [0.000, 0.500, 0.000], [0.000, 0.000, 0.000], [0.210, 0.419, 0.686], [0.233, 0.023, 0.314], [0.790, 0.023, 0.314], [0.767, 0.977, 0.686], [0.740, 0.479, 0.719], [0.260, 0.521, 0.281], [0.790, 0.581, 0.314], [0.210, 0.977, 0.686], [0.000, 0.000, 0.500], [0.500, 0.000, 0.500], [0.500, 0.500, 0.500], [0.000, 0.500, 0.500]],
  "dos_at_fermi_per_ev_cell": 3.17,
  "total_energy_ev_per_atom": -7.89,
  "raw_formation_energy_ev_per_atom": -0.939,
  "volume_a3_per_atom": 17.61
}

=====

{
  "formula": "Cd2In2Ni",
  "functional": "PBE",
  "state": "relaxed",
  "lattice_angstrom": [[-6.145, 3.248, -0.455], [-1.857, -2.650, 6.168], [1.822, 3.750, 2.160]],
  "species": ["Cd", "Cd", "Cd", "Cd", "In", "In", "In", "In", "Ni", "Ni"],
  "frac_coords": [[0.654, 0.846, 0.500], [0.154, 0.654, 0.500], [0.346, 0.154, 0.500], [0.846, 0.346, 0.500], [0.165, 0.335, 0.000], [0.335, 0.835, 0.000], [0.665, 0.165, 0.000], [0.835, 0.665, 0.000], [0.500, 0.500, 0.000], [0.000, 0.000, 0.000]],
  "dos_at_fermi_per_ev_cell": 4.96,
  "total_energy_ev_per_atom": -2.42,
  "volume_a3_per_atom": 22.78
}

=====

{
  "formula": "La4CoP",
  "functional": "PBE",
  "state": "relaxed",
  "lattice_angstrom": [[-4.028, -1.095, 4.623], [0.281, 3.361, 5.236], [-4.468, 4.144, 1.284]],
  "species": ["La", "La", "La", "La", "Co", "P"],
  "frac_coords": [[0.376, 0.873, 0.376], [0.873, 0.376, 0.376], [0.376, 0.376, 0.376], [0.376, 0.376, 0.873], [0.000, 0.000, 0.000], [0.750, 0.750, 0.750]],
  "dos_at_fermi_per_ev_cell": 10.03,
  "total_energy_ev_per_atom": -4.75,
  "volume_a3_per_atom": 28.47
}

=====

{
  "formula": "KLiSb2",
  "functional": "PBE",
  "state": "relaxed",
  "lattice_angstrom": [[-3.689, -3.419, 3.233], [-3.039, -3.670, -3.613], [5.840, 1.178, 0.512]],
  "species": ["Sb", "Sb", "Li", "K"],
  "frac_coords": [[0.250, 0.750, 0.500], [0.000, 0.000, 0.000], [0.750, 0.250, 0.500], [0.500, 0.500, 0.000]],
  "dos_at_fermi_per_ev_cell": 2.17,
  "total_energy_ev_per_atom": -2.93,
  "raw_formation_energy_ev_per_atom": -0.114,
  "volume_a3_per_atom": 28.95
}

=====

{
  "formula": "LiB2",
  "functional": "PBE",
  "state": "relaxed",
  "lattice_angstrom": [[-0.621, 3.738, 0.842], [-3.518, 1.173, 1.146], [-0.579, 1.090, 3.680]],
  "species": ["B", "B", "B", "B", "Li", "Li"],
  "frac_coords": [[0.625, 0.125, 0.625], [0.625, 0.625, 0.625], [0.625, 0.625, 0.125], [0.125, 0.625, 0.625], [0.000, 0.000, 0.000], [0.250, 0.250, 0.250]],
  "dos_at_fermi_per_ev_cell": 1.28,
  "total_energy_ev_per_atom": -4.73,
  "volume_a3_per_atom": 6.89
}

=====

{
  "formula": "ErPuSc2",
  "functional": "PBE",
  "state": "relaxed",
  "lattice_angstrom": [[3.689, 0.000, 0.000], [0.000, 5.338, 0.000], [0.000, 0.000, 5.338]],
  "species": ["Sc", "Sc", "Pu", "Er"],
  "frac_coords": [[0.000, 0.000, 0.500], [0.000, 0.500, 0.000], [0.500, 0.500, 0.500], [0.500, 0.000, 0.000]],
  "dos_at_fermi_per_ev_cell": 10.43,
  "total_energy_ev_per_atom": -7.76,
  "volume_a3_per_atom": 26.28
}

=====

{
  "formula": "ReSiSb",
  "functional": "PBE",
  "state": "relaxed",
  "lattice_angstrom": [[4.271, 0.000, 0.000], [-2.136, 3.699, 0.000], [0.000, 0.000, 3.426]],
  "species": ["Re", "Si", "Sb"],
  "frac_coords": [[0.000, 0.000, 0.833], [0.333, 0.667, 0.833], [0.667, 0.333, 0.333]],
  "dos_at_fermi_per_ev_cell": 2.87,
  "total_energy_ev_per_atom": -6.83,
  "raw_formation_energy_ev_per_atom": 0.497,
  "volume_a3_per_atom": 18.04
}

=====

{
  "formula": "CaIn2Pt",
  "functional": "PBE",
  "state": "relaxed",
  "lattice_angstrom": [[-1.599, -4.186, -3.799], [-0.859, -5.791, 0.483], [-4.736, -3.443, -0.472]],
  "species": ["Pt", "In", "In", "Ca"],
  "frac_coords": [[0.250, 0.250, 0.250], [0.969, 0.969, 0.969], [0.531, 0.531, 0.531], [0.750, 0.750, 0.750]],
  "dos_at_fermi_per_ev_cell": 3.30,
  "total_energy_ev_per_atom": -3.85,
  "volume_a3_per_atom": 24.30
}

=====

{
  "formula": "Ga2CBr",
  "functional": "PBE",
  "state": "relaxed",
  "lattice_angstrom": [[5.858, 0.000, 0.000], [0.000, 5.858, 0.000], [2.929, 2.929, 4.571]],
  "species": ["Ga", "Ga", "Ga", "Ga", "Br", "Br", "C", "C"],
  "frac_coords": [[0.249, 0.625, 0.250], [0.875, 0.751, 0.750], [0.375, 0.499, 0.750], [0.501, 0.125, 0.250], [0.750, 0.250, 0.500], [0.000, 0.000, 0.000], [0.500, 0.500, 0.000], [0.250, 0.750, 0.500]],
  "dos_at_fermi_per_ev_cell": 6.97,
  "total_energy_ev_per_atom": -3.94,
  "raw_formation_energy_ev_per_atom": 0.299,
  "volume_a3_per_atom": 19.61
}

=====

{
  "formula": "AcTb2YS6",
  "functional": "PBE",
  "state": "relaxed",
  "lattice_angstrom": [[-4.994, -5.038, 0.332], [1.414, -6.560, -2.325], [0.789, -5.457, 5.025]],
  "species": ["Tb", "Tb", "S", "S", "S", "S", "S", "S", "Y", "Ac"],
  "frac_coords": [[0.013, 0.013, 0.961], [0.520, 0.520, 0.440], [0.227, 0.915, 0.244], [0.376, 0.724, 0.746], [0.615, 0.227, 0.244], [0.724, 0.154, 0.746], [0.154, 0.376, 0.746], [0.915, 0.615, 0.244], [0.316, 0.316, 0.051], [0.803, 0.803, 0.592]],
  "dos_at_fermi_per_ev_cell": 0.00,
  "total_energy_ev_per_atom": -6.53,
  "raw_formation_energy_ev_per_atom": -2.075,
  "volume_a3_per_atom": 27.22
}

=====

{
  "formula": "SrMgBe2F8",
  "functional": "PBE",
  "state": "relaxed",
  "lattice_angstrom": [[-0.857, 1.270, 4.597], [-0.307, -3.776, 3.021], [7.123, 0.294, 1.543]],
  "species": ["Sr", "Be", "Be", "F", "F", "F", "F", "F", "F", "F", "F", "Mg"],
  "frac_coords": [[0.000, 0.000, 0.500], [0.634, 0.634, 0.222], [0.366, 0.366, 0.778], [0.702, 0.702, 0.420], [0.280, 0.771, 0.208], [0.771, 0.280, 0.208], [0.229, 0.720, 0.792], [0.720, 0.229, 0.792], [0.298, 0.298, 0.580], [0.234, 0.234, 0.934], [0.766, 0.766, 0.066], [0.000, 0.000, 0.000]],
  "dos_at_fermi_per_ev_cell": 0.00,
  "total_energy_ev_per_atom": -5.65,
  "raw_formation_energy_ev_per_atom": -3.512,
  "volume_a3_per_atom": 13.07
}

=====

{
  "formula": "AlTcAgRh2",
  "functional": "PBE",
  "state": "relaxed",
  "lattice_angstrom": [[-0.853, -3.445, 2.745], [-2.600, -1.935, -3.237], [3.594, -2.161, -1.595]],
  "species": ["Tc", "Rh", "Rh", "Ag", "Al"],
  "frac_coords": [[0.500, 0.500, 0.500], [0.000, 0.000, 0.500], [0.500, 0.000, 0.000], [0.000, 0.500, 0.000], [0.000, 0.000, 0.000]],
  "dos_at_fermi_per_ev_cell": 2.43,
  "total_energy_ev_per_atom": -5.43,
  "volume_a3_per_atom": 18.44
}

=====

{
  "formula": "RbCa2Mo",
  "functional": "PBE",
  "state": "relaxed",
  "lattice_angstrom": [[-5.765, -0.881, 0.053], [-3.024, 0.779, 4.926], [-3.637, 4.531, 0.504]],
  "species": ["Ca", "Ca", "Mo", "Rb"],
  "frac_coords": [[0.750, 0.750, 0.750], [0.250, 0.250, 0.250], [0.500, 0.500, 0.500], [0.000, 0.000, 0.000]],
  "dos_at_fermi_per_ev_cell": 4.27,
  "total_energy_ev_per_atom": -2.94,
  "volume_a3_per_atom": 35.07
}

=====

{
  "formula": "Rb2BaIr4",
  "functional": "PBE",
  "state": "relaxed",
  "lattice_angstrom": [[-3.845, -3.682, -0.312], [2.557, -2.325, -4.061], [3.829, -8.163, 3.583]],
  "species": ["Ir", "Ir", "Ir", "Ir", "Rb", "Rb", "Ba"],
  "frac_coords": [[0.153, 0.153, 0.694], [0.500, 0.000, 0.000], [0.000, 0.500, 0.000], [0.847, 0.847, 0.306], [0.646, 0.646, 0.708], [0.354, 0.354, 0.292], [0.000, 0.000, 0.000]],
  "dos_at_fermi_per_ev_cell": 16.77,
  "total_energy_ev_per_atom": -3.35,
  "volume_a3_per_atom": 36.32
}

=====

{
  "formula": "LiLa2AgRh",
  "functional": "PBE",
  "state": "relaxed",
  "lattice_angstrom": [[5.442, 0.000, 0.000], [0.000, 5.442, 0.000], [0.000, 0.000, 4.820]],
  "species": ["La", "La", "Ag", "Li", "Rh"],
  "frac_coords": [[0.000, 0.500, 0.000], [0.500, 0.000, 0.000], [0.500, 0.500, 0.500], [0.000, 0.000, 0.500], [0.000, 0.000, 0.000]],
  "dos_at_fermi_per_ev_cell": 3.78,
  "total_energy_ev_per_atom": -4.65,
  "volume_a3_per_atom": 28.55
}

=====

{
  "formula": "Th3Cd2Hg",
  "functional": "PBE",
  "state": "relaxed",
  "lattice_angstrom": [[3.814, 0.000, 0.000], [0.000, 3.814, 0.000], [0.000, 0.000, 11.687]],
  "species": ["Th", "Th", "Th", "Cd", "Cd", "Hg"],
  "frac_coords": [[0.000, 0.000, 0.334], [0.000, 0.000, 0.666], [0.000, 0.000, 0.000], [0.500, 0.500, 0.833], [0.500, 0.500, 0.167], [0.500, 0.500, 0.500]],
  "dos_at_fermi_per_ev_cell": 4.43,
  "total_energy_ev_per_atom": -4.16,
  "volume_a3_per_atom": 28.34
}

=====

{
  "formula": "In2RePb",
  "functional": "PBE",
  "state": "relaxed",
  "lattice_angstrom": [[3.122, -0.021, 0.000], [-1.218, 2.875, 0.000], [0.000, 0.000, 10.631]],
  "species": ["Pb", "Re", "In", "In"],
  "frac_coords": [[0.000, 0.000, 0.546], [0.500, 0.500, 0.760], [0.500, 0.500, 0.227], [0.000, 0.000, 0.966]],
  "dos_at_fermi_per_ev_cell": 3.44,
  "total_energy_ev_per_atom": -4.78,
  "volume_a3_per_atom": 23.78
}

=====

{
  "formula": "LaMo2WC",
  "functional": "PBE",
  "state": "relaxed",
  "lattice_angstrom": [[-2.965, 3.823, -1.199], [-3.256, -2.531, -0.020], [-0.754, 0.932, 4.838]],
  "species": ["La", "C", "Mo", "Mo", "W"],
  "frac_coords": [[0.500, 0.500, 0.500], [0.000, 0.500, 0.000], [0.500, 0.000, 0.000], [0.000, 0.000, 0.500], [0.000, 0.000, 0.000]],
  "dos_at_fermi_per_ev_cell": 5.53,
  "total_energy_ev_per_atom": -8.38,
  "volume_a3_per_atom": 20.49
}

=====

{
  "formula": "BaMgSeN2",
  "functional": "PBE",
  "state": "relaxed",
  "lattice_angstrom": [[4.524, 0.000, 0.000], [0.000, 4.524, 0.000], [0.000, 0.000, 6.719]],
  "species": ["N", "N", "Mg", "Ba", "Se"],
  "frac_coords": [[0.500, 0.000, 0.000], [0.000, 0.500, 0.000], [0.500, 0.500, 0.500], [0.000, 0.000, 0.000], [0.000, 0.000, 0.500]],
  "dos_at_fermi_per_ev_cell": 2.89,
  "total_energy_ev_per_atom": -3.50,
  "raw_formation_energy_ev_per_atom": 1.227,
  "volume_a3_per_atom": 27.50
}

=====

{
  "formula": "CaSn2IrBr",
  "functional": "PBE",
  "state": "relaxed",
  "lattice_angstrom": [[-3.459, 4.478, 1.721], [-0.804, -2.354, 4.508], [4.708, 2.760, 2.280]],
  "species": ["Ir", "Ca", "Sn", "Sn", "Br"],
  "frac_coords": [[0.500, 0.500, 0.500], [0.000, 0.000, 0.000], [0.000, 0.000, 0.500], [0.500, 0.000, 0.000], [0.000, 0.500, 0.000]],
  "dos_at_fermi_per_ev_cell": 4.90,
  "total_energy_ev_per_atom": -2.99,
  "raw_formation_energy_ev_per_atom": 1.117,
  "volume_a3_per_atom": 36.03
}

=====

{
  "formula": "TaV5C6",
  "functional": "PBE",
  "state": "relaxed",
  "lattice_angstrom": [[5.090, -0.080, -0.960], [-2.751, 4.283, -0.960], [0.101, 0.181, 5.173]],
  "species": ["C", "C", "C", "C", "C", "C", "V", "V", "V", "V", "V", "Ta"],
  "frac_coords": [[0.086, 0.426, 0.256], [0.574, 0.914, 0.744], [0.426, 0.086, 0.256], [0.257, 0.257, 0.747], [0.743, 0.743, 0.253], [0.914, 0.574, 0.744], [0.831, 0.169, 0.500], [0.333, 0.667, 0.000], [0.667, 0.333, 0.000], [0.500, 0.500, 0.500], [0.169, 0.831, 0.500], [0.000, 0.000, 0.000]],
  "dos_at_fermi_per_ev_cell": 5.90,
  "total_energy_ev_per_atom": -9.82,
  "volume_a3_per_atom": 9.45
}

=====

{
  "formula": "NaVZn",
  "functional": "PBE",
  "state": "relaxed",
  "lattice_angstrom": [[-3.509, -3.472, 3.108], [2.875, -4.442, 0.561], [1.847, 1.121, 3.672]],
  "species": ["Zn", "Zn", "V", "V", "Na", "Na"],
  "frac_coords": [[0.536, 0.711, 0.342], [0.676, 0.902, 0.806], [0.601, 0.403, 0.880], [0.611, 0.210, 0.267], [0.057, 0.552, 0.313], [0.156, 0.062, 0.835]],
  "dos_at_fermi_per_ev_cell": 4.55,
  "total_energy_ev_per_atom": -3.50,
  "volume_a3_per_atom": 21.33
}

=====

{
  "formula": "SrTl2Cl",
  "functional": "PBE",
  "state": "relaxed",
  "lattice_angstrom": [[5.772, -0.016, 0.000], [1.121, 5.663, 0.000], [-3.447, -2.824, 3.670]],
  "species": ["Tl", "Tl", "Sr", "Cl"],
  "frac_coords": [[0.250, 0.750, 0.500], [0.000, 0.000, 0.000], [0.750, 0.250, 0.500], [0.500, 0.500, 0.000]],
  "dos_at_fermi_per_ev_cell": 2.93,
  "total_energy_ev_per_atom": -2.70,
  "raw_formation_energy_ev_per_atom": -0.632,
  "volume_a3_per_atom": 30.01
}

=====

{
  "formula": "Cs3Ag2PbF8",
  "functional": "PBE",
  "state": "relaxed",
  "lattice_angstrom": [[6.531, 0.000, 0.000], [-3.266, 5.656, 0.000], [0.000, 0.000, 8.929]],
  "species": ["Cs", "Cs", "Cs", "F", "F", "F", "F", "F", "F", "F", "F", "Ag", "Ag", "Pb"],
  "frac_coords": [[0.333, 0.667, 0.644], [0.000, 0.000, 0.000], [0.667, 0.333, 0.356], [0.667, 0.333, 0.047], [0.332, 0.166, 0.654], [0.333, 0.667, 0.953], [0.166, 0.332, 0.346], [0.834, 0.668, 0.654], [0.166, 0.834, 0.346], [0.834, 0.166, 0.654], [0.668, 0.834, 0.346], [0.667, 0.333, 0.808], [0.333, 0.667, 0.192], [0.000, 0.000, 0.500]],
  "dos_at_fermi_per_ev_cell": 3.35,
  "total_energy_ev_per_atom": -3.97,
  "raw_formation_energy_ev_per_atom": -2.049,
  "volume_a3_per_atom": 23.56
}

=====

{
  "formula": "PrTlHg4",
  "functional": "PBE",
  "state": "relaxed",
  "lattice_angstrom": [[-4.615, 0.027, 2.294], [-0.176, -6.764, -0.273], [3.937, -3.814, 7.964]],
  "species": ["Tl", "Tl", "Hg", "Hg", "Hg", "Hg", "Hg", "Hg", "Hg", "Hg", "Pr", "Pr"],
  "frac_coords": [[0.750, 0.620, 0.260], [0.250, 0.380, 0.740], [0.750, 0.031, 0.919], [0.750, 0.195, 0.586], [0.250, 0.450, 0.081], [0.250, 0.805, 0.414], [0.250, 0.281, 0.414], [0.250, 0.969, 0.081], [0.750, 0.550, 0.919], [0.750, 0.719, 0.586], [0.250, 0.876, 0.747], [0.750, 0.124, 0.253]],
  "dos_at_fermi_per_ev_cell": 7.78,
  "total_energy_ev_per_atom": -1.65,
  "volume_a3_per_atom": 26.34
}

=====

{
  "formula": "RbTcSeBr2",
  "functional": "PBE",
  "state": "relaxed",
  "lattice_angstrom": [[5.469, 0.000, 0.000], [0.000, 5.469, 0.000], [0.000, 0.000, 4.749]],
  "species": ["Br", "Br", "Tc", "Rb", "Se"],
  "frac_coords": [[0.500, 0.000, 0.000], [0.000, 0.500, 0.000], [0.000, 0.000, 0.000], [0.500, 0.500, 0.500], [0.000, 0.000, 0.500]],
  "dos_at_fermi_per_ev_cell": 2.77,
  "total_energy_ev_per_atom": -4.16,
  "raw_formation_energy_ev_per_atom": -0.528,
  "volume_a3_per_atom": 28.41
}